This record from Alexandria describes Al3FeSi2 after structural relaxation. The functional is GGA-PBEsol.

POSCAR file:
```
Al3FeSi2
1.0
6.002 0.000 0.000
-3.001 5.609 0.004
0.000 3.208 5.073
Si Al Fe
4 6 2
Direct
0.501 0.708 0.999
0.207 0.708 0.293
0.001 0.708 0.793
0.707 0.708 0.499
0.498 0.996 0.502
0.998 0.996 0.002
0.483 0.290 0.017
0.806 0.290 0.694
0.983 0.290 0.194
0.306 0.290 0.517
0.755 0.509 0.245
0.255 0.509 0.745
```

Computed properties:
- calculated density (g/cm³) = 3.75
- formation energy without anion corrections (eV per atom) = -0.281
- SG = I4cm (108)
- magnetic moment (μB per formula unit) = 0.00
- crystal system = tetragonal